1.
# BH2Br

A relaxed BH2Br crystal (GGA-PBE, Alexandria).

Properties
final energy = -3.04 eV/atom
magnetization = 0.000 μB/atom
DOS(E_F) = 9.698 states/eV per cell
relative energy among the computed polymorphs = 836.7 meV/atom

Cell and atoms, written as CIF:
```
data_BH2Br
_chemical_formula_sum 'B4 H8 Br4'
_cell_length_a 4.824
_cell_length_b 4.824
_cell_length_c 6.871
_cell_angle_alpha 90.00
_cell_angle_beta 90.00
_cell_angle_gamma 90.00
_symmetry_space_group_name_H-M 'I 41/a m d'
_symmetry_Int_Tables_number 141
loop_
_symmetry_equiv_pos_as_xyz
'x,y,z'
'-x,-y,-z'
'-y+1/4,x+3/4,z+1/4'
'y+1/4,-x+3/4,-z+1/4'
'-x+1/2,-y,z+1/2'
'x+1/2,y,-z+1/2'
'y+1/4,-x+1/4,z+3/4'
'-y+1/4,x+1/4,-z+3/4'
'x,-y,-z'
'-x,y,z'
'-y+1/4,-x+1/4,-z+3/4'
'y+1/4,x+1/4,z+3/4'
'-x+1/2,y,-z+1/2'
'x+1/2,-y,z+1/2'
'y+1/4,x+3/4,-z+1/4'
'-y+1/4,-x+3/4,z+1/4'
'x+1/2,y+1/2,z+1/2'
'-x+1/2,-y+1/2,-z+1/2'
'-y+3/4,x+1/4,z+3/4'
'y+3/4,-x+1/4,-z+3/4'
'-x,-y+1/2,z'
'x,y+1/2,-z'
'y+3/4,-x+3/4,z+1/4'
'-y+3/4,x+3/4,-z+1/4'
'x+1/2,-y+1/2,-z+1/2'
'-x+1/2,y+1/2,z+1/2'
'-y+3/4,-x+3/4,-z+1/4'
'y+3/4,x+3/4,z+1/4'
'-x,y+1/2,-z'
'x,-y+1/2,z'
'y+3/4,x+1/4,-z+3/4'
'-y+3/4,-x+1/4,z+3/4'
loop_
_atom_site_label
_atom_site_type_symbol
_atom_site_fract_x
_atom_site_fract_y
_atom_site_fract_z
B1 B 0.000 0.250 0.375
H1 H 0.000 0.000 0.500
Br1 Br 0.000 0.250 0.875
```


2.
# BHBr4

A relaxed BHBr4 crystal (GGA-PBE, Alexandria).

Properties
final energy = -3.19 eV/atom
magnetization = 0.000 μB/atom
DOS(E_F) = 0.000 states/eV per cell

Cell and atoms, written as CIF:
```
data_BHBr4
_chemical_formula_sum 'B2 H2 Br8'
_cell_length_a 4.590
_cell_length_b 10.114
_cell_length_c 10.047
_cell_angle_alpha 90.00
_cell_angle_beta 97.69
_cell_angle_gamma 90.00
_symmetry_space_group_name_H-M 'P 1 21/m 1'
_symmetry_Int_Tables_number 11
loop_
_symmetry_equiv_pos_as_xyz
'x,y,z'
'-x,-y,-z'
'-x,y+1/2,-z'
'x,-y+1/2,z'
loop_
_atom_site_label
_atom_site_type_symbol
_atom_site_fract_x
_atom_site_fract_y
_atom_site_fract_z
B1 B 0.094 0.250 0.316
H1 H 0.325 0.250 0.996
Br1 Br 0.014 0.750 0.507
Br2 Br 0.149 0.087 0.227
Br3 Br 0.461 0.250 0.875
```


Look up the DOS(E_F) of the second one.
0.000 states/eV per cell